Record 1
Here is an optimized crystal structure of Li2Cu2IrO6 from Alexandria. Energies are from PBE-GGA.

Cell lengths 5.173, 5.173, 5.287 Å; angles 102.51, 102.51, 114.50 degrees
Fractional positions:
Li (0.198, 0.802, 0.000)
Li (0.802, 0.198, 0.000)
Cu (0.337, 0.663, 0.500)
Cu (0.663, 0.337, 0.500)
Ir (0.000, 0.000, 0.500)
O (0.024, 0.375, 0.733)
O (0.250, 0.250, 0.319)
O (0.375, 0.024, 0.733)
O (0.625, 0.976, 0.267)
O (0.750, 0.750, 0.681)
O (0.976, 0.625, 0.267)

Output
- V: 10.7 Å³ per atom
- Raw formation energy: -0.959 eV per atom
- SG: C2/m (12)

---

Record 2
Here is an optimized crystal structure of LiPm2CuIr2 from Alexandria. Energies are from PBE-GGA.

Cell lengths 8.238, 8.238, 8.238 Å; angles 139.25, 58.97, 139.27 degrees
Fractional positions:
Li (0.250, 0.250, 0.000)
Li (0.750, 0.750, 0.000)
Pm (0.168, 0.250, 0.419)
Pm (0.332, 0.750, 0.082)
Pm (0.668, 0.250, 0.918)
Pm (0.832, 0.750, 0.581)
Cu (0.250, 0.750, 0.500)
Cu (0.750, 0.250, 0.500)
Ir (0.121, 0.748, 0.869)
Ir (0.379, 0.248, 0.627)
Ir (0.621, 0.752, 0.373)
Ir (0.879, 0.252, 0.131)

Output
- Formation energy from the elements: -2.7 eV/f.u.
- V: 19.6 Å³ per atom
- SG: Ibam (72)

---

Record 3
Here is an optimized crystal structure of LiPmCuIr from Alexandria. Energies are from PBE-GGA.

Cell lengths 4.708, 4.708, 4.708 Å; angles 60.00, 60.00, 60.00 degrees
Fractional positions:
Li (0.000, 0.000, 0.000)
Pm (0.500, 0.500, 0.500)
Cu (0.250, 0.250, 0.250)
Ir (0.750, 0.750, 0.750)

Output
- Formation energy from the elements: -0.7 eV/f.u.
- V: 18.4 Å³ per atom
- SG: F-43m (216)

---

Record 4
Here is an optimized crystal structure of LiPrCuIr from Alexandria. Energies are from PBE-GGA.

Cell lengths 4.620, 4.620, 4.620 Å; angles 60.00, 60.00, 60.00 degrees
Fractional positions:
Li (0.000, 0.000, 0.000)
Pr (0.750, 0.750, 0.750)
Cu (0.500, 0.500, 0.500)
Ir (0.250, 0.250, 0.250)

Output
- Formation energy from the elements: -0.5 eV/f.u.
- V: 17.4 Å³ per atom
- SG: F-43m (216)

---

Record 5
Here is an optimized crystal structure of LiCuIrRh from Alexandria. Energies are from PBE-GGA.

Cell lengths 4.237, 4.237, 4.237 Å; angles 60.00, 60.00, 60.00 degrees
Fractional positions:
Li (0.000, 0.000, 0.000)
Cu (0.250, 0.250, 0.250)
Ir (0.500, 0.500, 0.500)
Rh (0.750, 0.750, 0.750)

Output
- Formation energy from the elements: 0.2 eV/f.u.
- V: 13.4 Å³ per atom
- SG: F-43m (216)

---

Record 6
Here is an optimized crystal structure of LiCuSbIr2 from Alexandria. Energies are from PBE-GGA.

Cell lengths 4.329, 4.329, 3.987 Å; angles 90.00, 90.00, 90.00 degrees
Fractional positions:
Li (0.000, 0.000, 0.000)
Cu (0.000, 0.000, 0.500)
Sb (0.500, 0.500, 0.500)
Ir (0.000, 0.500, 0.000)
Ir (0.500, 0.000, 0.000)

Output
- V: 14.9 Å³ per atom
- Raw formation energy: 0.609 eV per atom
- SG: P4/mmm (123)

---

Record 7
Here is an optimized crystal structure of LiCuSb2Ir from Alexandria. Energies are from PBE-GGA.

Cell lengths 4.937, 4.937, 4.744 Å; angles 90.00, 90.00, 90.00 degrees
Fractional positions:
Li (0.000, 0.000, 0.000)
Cu (0.500, 0.500, 0.500)
Sb (0.000, 0.500, 0.500)
Sb (0.500, 0.000, 0.500)
Ir (0.500, 0.500, 0.000)

Output
- V: 23.1 Å³ per atom
- Raw formation energy: 0.618 eV per atom
- SG: P4/mmm (123)

---

Record 8
Here is an optimized crystal structure of LiScCuIr from Alexandria. Energies are from PBE-GGA.

Cell lengths 4.408, 4.408, 4.408 Å; angles 60.00, 60.00, 60.00 degrees
Fractional positions:
Li (0.000, 0.000, 0.000)
Sc (0.500, 0.500, 0.500)
Cu (0.250, 0.250, 0.250)
Ir (0.750, 0.750, 0.750)

Output
- Formation energy from the elements: -1.5 eV/f.u.
- V: 15.1 Å³ per atom
- SG: F-43m (216)

---

Number 1: size of the total moment 0.88 μB/f.u.. Number 2: size of the total moment 0.00 μB/f.u.. Number 3: size of the total moment 0.00 μB/f.u.. Number 4: size of the total moment 0.00 μB/f.u.. Number 5: size of the total moment 0.03 μB/f.u.. Number 6: size of the total moment 0.00 μB/f.u.. Number 7: size of the total moment 0.00 μB/f.u.. Number 8: size of the total moment 0.00 μB/f.u..